# 1
Below is a geometry-optimized La2Dy2CBr3Cl2 structure, with properties calculated at the GGA-PBE level.

Lattice parameters (Å, degrees): 18.0429 3.9209 8.6240 90.00 103.42 90.00
With the nearest neighbours (Å) after each atom.
Space group C2/m (No. 12)
Asymmetric unit:
La 0.0007 0.0000 0.2086  2 C 2.66, 1 Cl 2.91
Dy 0.1376 0.5000 0.0694  1 C 2.42
C 0.0000 0.5000 0.0000  2 Dy 2.42, 4 La 2.66
Br 0.0000 0.5000 0.5000  4 La 3.19
Br 0.1747 0.0000 0.8490  2 Dy 2.91, 1 La 3.09
Cl 0.1668 0.0000 0.2960  2 Dy 2.73, 1 La 2.91

## Properties
Distance to the lowest polymorph of the same formula ... 6 meV per atom

***

# 2
Below is a geometry-optimized Er3LuPb2C2 structure, with properties calculated at the GGA-PBE level.

Lattice parameters (Å, degrees): 3.5898 3.5898 15.8610 90.00 90.00 120.00
With the nearest neighbours (Å) after each atom.
Space group P3m1 (No. 156)
Asymmetric unit:
Er 0.0000 0.0000 0.0000  3 C 2.46
Er 0.0000 0.0000 0.3358  3 C 2.45
Er 0.3333 0.6667 0.5009  3 C 2.45
Lu 0.3333 0.6667 0.8369  3 C 2.43
Pb 0.0000 0.0000 0.6696  3 Lu 3.37, 3 Er 3.38, 6 Pb 3.59
Pb 0.3333 0.6667 0.1681  6 Er 3.37-3.38, 6 Pb 3.59
C 0.6667 0.3333 0.4185  6 Er 2.45
C 0.6667 0.3333 0.9170  3 Lu 2.43, 3 Er 2.46

## Properties
E_tot ... -6.041 eV per atom